! TmZn4Pt, relaxed, DFT PBE; values from VASP
! Space-group type: F-43m (216)
! Crystal system: cubic
! Electronic total energy in Ry per atom: -0.2210
! ΔH_f (0 K) in eV/atom: -0.406
&SYSTEM
  ibrav = 0, nat = 6, ntyp = 3
/
ATOMIC_SPECIES
Tm 168.93 Tm.upf
Zn 65.41 Zn.upf
Pt 195.08 Pt.upf
ATOMIC_POSITIONS crystal
Tm 0.000 0.000 0.000
Zn 0.376 0.376 0.376
Zn 0.376 0.376 0.873
Zn 0.376 0.873 0.376
Zn 0.873 0.376 0.376
Pt 0.750 0.750 0.750
CELL_PARAMETERS angstrom
0.000 3.645 3.645
3.645 0.000 3.645
3.645 3.645 0.000